Compound: TmMnO3
Source: the Alexandria database
Functional: PBE with a Hubbard U
Structure: relaxed

## Properties
The raw total energy is -7.6679 eV/atom. As for the symmetry: P2_1/c.

Lattice parameters (Å, degrees): 5.9614 5.3605 7.0437 90.00 95.94 90.00
With the nearest neighbours (Å) after each atom.
Sites, in units of the cell vectors:
Tm: 0.1472 0.2183 0.1698  5 O 2.16-2.36
Tm: 0.1472 0.2817 0.6698  5 O 2.16-2.36
Tm: 0.8528 0.7183 0.3302  5 O 2.16-2.36
Tm: 0.8528 0.7817 0.8302  5 O 2.16-2.36
Mn: 0.4092 0.7367 0.0738  6 O 1.95-2.07
Mn: 0.4092 0.7633 0.5738  6 O 1.95-2.07
Mn: 0.5908 0.2367 0.4262  6 O 1.95-2.07
Mn: 0.5908 0.2633 0.9262  6 O 1.95-2.07
O: 0.0924 0.6777 0.6175  1 Mn 2.00, 1 Tm 2.17
O: 0.0924 0.8223 0.1175  1 Mn 2.00, 1 Tm 2.17
O: 0.3002 0.0791 0.4519  2 Mn 1.95-1.98, 1 Tm 2.16
O: 0.3002 0.4209 0.9519  2 Mn 1.95-1.98, 1 Tm 2.16
O: 0.4322 0.5636 0.3293  3 Mn 2.02-2.07
O: 0.4322 0.9364 0.8293  3 Mn 2.02-2.07
O: 0.5678 0.0636 0.1707  3 Mn 2.02-2.07
O: 0.5678 0.4364 0.6707  3 Mn 2.02-2.07
O: 0.6998 0.5791 0.0481  2 Mn 1.95-1.98, 1 Tm 2.16
O: 0.6998 0.9209 0.5481  2 Mn 1.95-1.98, 1 Tm 2.16
O: 0.9076 0.1777 0.8825  1 Mn 2.00, 1 Tm 2.17
O: 0.9076 0.3223 0.3825  1 Mn 2.00, 1 Tm 2.17